A plane-wave DFT calculation with GGA-PBE was carried out for a relaxed structure of YPbF3.

abc: 4.548 4.548 4.548
angles: 90.00 90.00 90.00
Sites, in units of the cell vectors:
Y 0.000 0.000 0.000
Pb 0.500 0.500 0.500
F 0.000 0.000 0.500
F 0.000 0.500 0.000
F 0.500 0.000 0.000

Total magnetization (μB per cell): 0.00
E_form (uncorrected) (eV per formula unit): -13.39
Uncorrected energy (eV/cell): -29.2
Polymorph energy (0 for the lowest one) (eV/atom): 0.000